Entry 1:
The following is a DFT calculation (PBE-GGA) of a relaxed Cu8Te crystal.

Unit cell a=4.3992 b=4.3992 c=27.1521 alpha=90.23 beta=90.23 gamma=49.24
With the nearest neighbours (Å) after each atom.
Sites, in units of the cell vectors:
Cu1 0.0481 0.0481 0.3975  12 Cu 2.53-2.58
Cu2 0.0495 0.0495 0.6915  9 Cu 2.53-2.57, 2 Te 2.76
Cu3 0.1499 0.1499 0.4856  12 Cu 2.52-2.57
Cu4 0.2524 0.2524 0.2772  6 Cu 2.56-2.60, 3 Te 2.61-2.66
Cu5 0.2522 0.2522 0.5740  12 Cu 2.52-2.57
Cu6 0.3474 0.3474 0.3676  12 Cu 2.53-2.57
Cu7 0.3510 0.3510 0.6621  11 Cu 2.52-2.60, 1 Te 2.81
Cu8 0.4490 0.4490 0.4560  12 Cu 2.52-2.57
Cu9 0.5510 0.5510 0.5440  12 Cu 2.52-2.57
Cu10 0.6490 0.6490 0.3379  11 Cu 2.52-2.60, 1 Te 2.81
Cu11 0.6526 0.6526 0.6324  12 Cu 2.53-2.57
Cu12 0.7478 0.7478 0.4260  12 Cu 2.52-2.57
Cu13 0.7476 0.7476 0.7228  6 Cu 2.56-2.60, 3 Te 2.61-2.66
Cu14 0.8501 0.8501 0.5144  12 Cu 2.52-2.57
Cu15 0.9505 0.9505 0.3085  9 Cu 2.53-2.57, 2 Te 2.76
Cu16 0.9519 0.9519 0.6025  12 Cu 2.53-2.58
Te1 0.4492 0.4492 0.7616  6 Cu 2.61-2.81
Te2 0.5508 0.5508 0.2384  6 Cu 2.61-2.81

Its volume is 22.112 A^3/atom. The calculation puts the energy at -3.654 eV/atom.

***

Entry 2:
The following is a DFT calculation (PBE-GGA) of a relaxed Cu7Te4 crystal.

Unit cell a=7.1711 b=8.3210 c=30.3259 alpha=90.00 beta=90.59 gamma=90.00
With the nearest neighbours (Å) after each atom.
Sites, in units of the cell vectors:
Cu1 0.0000 0.0000 0.0000  4 Cu 2.57-2.66, 3 Te 2.72-2.73
Cu2 0.0044 0.2532 0.1209  5 Cu 2.56-2.80, 3 Te 2.63-2.76
Cu3 0.0044 0.7468 0.1209  5 Cu 2.56-2.80, 3 Te 2.63-2.76
Cu4 0.0139 0.5000 0.2313  6 Cu 2.59-2.83, 4 Te 2.63-2.88
Cu5 0.1514 0.2406 0.2748  4 Te 2.65-2.87, 4 Cu 2.66-2.85
Cu6 0.1514 0.7594 0.2748  4 Te 2.65-2.87, 4 Cu 2.66-2.85
Cu7 0.1558 0.2259 0.0451  5 Cu 2.49-2.70, 3 Te 2.55-2.78
Cu8 0.1558 0.7741 0.0451  5 Cu 2.49-2.70, 3 Te 2.55-2.78
Cu9 0.1573 0.0000 0.1590  6 Cu 2.60-2.83, 2 Te 2.62-2.65
Cu10 0.1652 0.5000 0.3776  3 Te 2.51-2.55, 2 Cu 2.53
Cu11 0.1694 0.0000 0.3577  4 Cu 2.53-2.64, 3 Te 2.57-2.69
Cu12 0.2241 0.2020 0.9578  2 Cu 2.39-2.66, 2 Te 2.44-2.56
Cu13 0.2241 0.7980 0.9578  2 Cu 2.39-2.66, 2 Te 2.44-2.56
Cu14 0.2573 0.2769 0.1916  5 Cu 2.50-2.80, 3 Te 2.58-2.71
Cu15 0.2573 0.7231 0.1916  5 Cu 2.50-2.80, 3 Te 2.58-2.71
Cu16 0.3225 0.5000 0.0601  4 Cu 2.61-2.79, 3 Te 2.69-2.81
Cu17 0.4593 0.5000 0.1573  2 Cu 2.58, 4 Te 2.63-2.68
Cu18 0.5277 0.0000 0.3686  3 Te 2.53-2.60, 2 Cu 2.59-2.79
Cu19 0.6580 0.5000 0.0143  3 Te 2.61-2.92, 4 Cu 2.68-2.79
Cu20 0.7034 0.0000 0.2373  3 Cu 2.59-2.61, 4 Te 2.66-2.73
Cu21 0.8448 0.0000 0.3161  5 Cu 2.59-2.79, 3 Te 2.60-2.65
Cu22 0.9197 0.2177 0.2032  5 Cu 2.50-2.73, 2 Te 2.56-2.60
Cu23 0.9197 0.7823 0.2032  5 Cu 2.50-2.73, 2 Te 2.56-2.60
Cu24 0.9546 0.5000 0.0685  8 Cu 2.62-2.80, 3 Te 2.79-2.82
Cu25 0.9704 0.3579 0.9853  3 Cu 2.37-2.49, 1 Te 2.47
Cu26 0.9704 0.6421 0.9853  3 Cu 2.37-2.49, 1 Te 2.47
Cu27 0.9737 0.2536 0.3584  3 Cu 2.53-2.63, 4 Te 2.60-2.75
Cu28 0.9737 0.7464 0.3584  3 Cu 2.53-2.63, 4 Te 2.60-2.75
Te1 0.3009 0.5000 0.9674  5 Cu 2.56-2.81
Te2 0.3320 0.0000 0.2353  6 Cu 2.62-2.71
Te3 0.3531 0.2633 0.3481  5 Cu 2.55-2.74
Te4 0.3531 0.7367 0.3481  5 Cu 2.55-2.74
Te5 0.3761 0.2402 0.1115  5 Cu 2.55-2.69
Te6 0.3761 0.7598 0.1115  5 Cu 2.55-2.69
Te7 0.3782 0.5000 0.2433  6 Cu 2.58-2.87
Te8 0.3799 0.0000 0.0036  3 Cu 2.44-2.73
Te9 0.7744 0.2176 0.0395  4 Cu 2.47-2.74
Te10 0.7744 0.7824 0.0395  4 Cu 2.47-2.74
Te11 0.7849 0.2773 0.2794  5 Cu 2.56-2.75
Te12 0.7849 0.7227 0.2794  5 Cu 2.56-2.75
Te13 0.7890 0.0000 0.1499  6 Cu 2.60-2.76
Te14 0.8265 0.5000 0.3973  3 Cu 2.51-2.60
Te15 0.8288 0.5000 0.1551  7 Cu 2.63-2.84
Te16 0.8505 0.0000 0.4034  5 Cu 2.53-2.69

For the energy above the most stable polymorph in this dataset, the calculation gives 116 meV per atom. Its volume is 41.125 A^3/atom. The calculation puts the energy at -3.457 eV/atom.

***

Entry 3:
The following is a DFT calculation (PBE-GGA) of a relaxed Cu7Te4 crystal.

Unit cell a=8.3199 b=8.3199 c=23.9105 alpha=90.00 beta=90.00 gamma=120.00
With the nearest neighbours (Å) after each atom.
Sites, in units of the cell vectors:
Cu1 0.0145 0.5072 0.2955  4 Cu 2.46-2.56, 3 Te 2.61-2.63
Cu2 0.0297 0.5148 0.5983  4 Cu 2.56-2.60, 3 Te 2.58-2.69
Cu3 0.1699 0.3397 0.6739  4 Cu 2.54-2.68, 4 Te 2.63-2.82
Cu4 0.1699 0.8301 0.6739  4 Cu 2.54-2.68, 4 Te 2.63-2.82
Cu5 0.1728 0.3457 0.3695  6 Cu 2.60-2.91, 4 Te 2.65-2.82
Cu6 0.1728 0.8272 0.3695  6 Cu 2.60-2.91, 4 Te 2.65-2.82
Cu7 0.3333 0.6667 0.2584  3 Cu 2.46, 3 Te 2.63
Cu8 0.3333 0.6667 0.5397  3 Cu 2.60, 4 Te 2.67-2.71
Cu9 0.3397 0.1699 0.3261  4 Cu 2.54-2.68, 4 Te 2.63-2.82
Cu10 0.3457 0.1728 0.6305  6 Cu 2.60-2.91, 4 Te 2.65-2.82
Cu11 0.4852 0.5148 0.5983  4 Cu 2.56-2.60, 3 Te 2.58-2.69
Cu12 0.4852 0.9703 0.5983  4 Cu 2.56-2.60, 3 Te 2.58-2.69
Cu13 0.4928 0.5072 0.2955  4 Cu 2.46-2.56, 3 Te 2.61-2.63
Cu14 0.4928 0.9855 0.2955  4 Cu 2.46-2.56, 3 Te 2.61-2.63
Cu15 0.5072 0.0145 0.7045  4 Cu 2.46-2.56, 3 Te 2.61-2.63
Cu16 0.5072 0.4928 0.7045  4 Cu 2.46-2.56, 3 Te 2.61-2.63
Cu17 0.5148 0.0297 0.4017  4 Cu 2.56-2.60, 3 Te 2.58-2.69
Cu18 0.5148 0.4852 0.4017  4 Cu 2.56-2.60, 3 Te 2.58-2.69
Cu19 0.6543 0.8272 0.3695  6 Cu 2.60-2.91, 4 Te 2.65-2.82
Cu20 0.6603 0.8301 0.6739  4 Cu 2.54-2.68, 4 Te 2.63-2.82
Cu21 0.6667 0.3333 0.4603  3 Cu 2.60, 4 Te 2.67-2.71
Cu22 0.6667 0.3333 0.7416  3 Cu 2.46, 3 Te 2.63
Cu23 0.8272 0.1728 0.6305  6 Cu 2.60-2.91, 4 Te 2.65-2.82
Cu24 0.8272 0.6543 0.6305  6 Cu 2.60-2.91, 4 Te 2.65-2.82
Cu25 0.8301 0.1699 0.3261  4 Cu 2.54-2.68, 4 Te 2.63-2.82
Cu26 0.8301 0.6603 0.3261  4 Cu 2.54-2.68, 4 Te 2.63-2.82
Cu27 0.9703 0.4852 0.4017  4 Cu 2.56-2.60, 3 Te 2.58-2.69
Cu28 0.9855 0.4928 0.7045  4 Cu 2.46-2.56, 3 Te 2.61-2.63
Te1 0.1498 0.2996 0.5646  6 Cu 2.58-2.82
Te2 0.1498 0.8502 0.5646  6 Cu 2.58-2.82
Te3 0.1510 0.3019 0.2593  6 Cu 2.63-2.82
Te4 0.1510 0.8490 0.2593  6 Cu 2.63-2.82
Te5 0.2996 0.1498 0.4354  6 Cu 2.58-2.82
Te6 0.3019 0.1510 0.7407  6 Cu 2.63-2.82
Te7 0.3333 0.6667 0.4281  7 Cu 2.67-2.70
Te8 0.3333 0.6667 0.7344  6 Cu 2.61-2.76
Te9 0.6667 0.3333 0.2656  6 Cu 2.61-2.76
Te10 0.6667 0.3333 0.5719  7 Cu 2.67-2.70
Te11 0.6981 0.8490 0.2593  6 Cu 2.63-2.82
Te12 0.7004 0.8502 0.5646  6 Cu 2.58-2.82
Te13 0.8490 0.1510 0.7407  6 Cu 2.63-2.82
Te14 0.8490 0.6981 0.7407  6 Cu 2.63-2.82
Te15 0.8502 0.1498 0.4354  6 Cu 2.58-2.82
Te16 0.8502 0.7004 0.4354  6 Cu 2.58-2.82

For the energy above the most stable polymorph in this dataset, the calculation gives 7 meV per atom. Its volume is 32.577 A^3/atom. The calculation puts the energy at -3.567 eV/atom.

***

Entry 4:
The following is a DFT calculation (PBE-GGA) of a relaxed Cu13Te2 crystal.

Unit cell a=5.3399 b=5.3399 c=25.5212 alpha=92.28 beta=92.28 gamma=29.79
With the nearest neighbours (Å) after each atom.
Sites, in units of the cell vectors:
Cu1 0.0000 0.0000 0.0000  12 Cu 2.50-2.75
Cu2 0.0487 0.0487 0.8983  12 Cu 2.51-2.75
Cu3 0.1140 0.1140 0.8018  7 Cu 2.53-2.75, 2 Te 2.72
Cu4 0.2580 0.2580 0.1299  11 Cu 2.48-2.75
Cu5 0.3185 0.3185 0.0337  12 Cu 2.50-2.75
Cu6 0.3695 0.3695 0.9349  12 Cu 2.48-2.76
Cu7 0.4224 0.4224 0.8299  9 Cu 2.53-2.76, 2 Te 2.80
Cu8 0.5776 0.5776 0.1701  9 Cu 2.53-2.76, 2 Te 2.80
Cu9 0.6305 0.6305 0.0651  12 Cu 2.48-2.76
Cu10 0.6815 0.6815 0.9663  12 Cu 2.50-2.75
Cu11 0.7420 0.7420 0.8701  11 Cu 2.48-2.75
Cu12 0.8860 0.8860 0.1982  7 Cu 2.53-2.75, 2 Te 2.72
Cu13 0.9513 0.9513 0.1017  12 Cu 2.51-2.75
Te1 0.2072 0.2072 0.2523  4 Cu 2.72-2.80, 2 Te 2.75
Te2 0.7928 0.7928 0.7477  4 Cu 2.72-2.80, 2 Te 2.75

For the energy above the most stable polymorph in this dataset, the calculation gives 84 meV per atom. Its volume is 24.086 A^3/atom. The calculation puts the energy at -3.538 eV/atom.

***

Which formula does entry 3 have?
Cu7Te4

***

Which value of energy does entry 1 give?
-3.654 eV/atom

***

Which value of energy does entry 3 give?
-3.567 eV/atom